A relaxed structure of LaTbAu. Source: Alexandria, functional PBE.

a = 4.9669 Å, b = 4.9669 Å, c = 4.0969 Å
α = 90.00°, β = 90.00°, γ = 120.00°
Sites, in units of the cell vectors:
La (0.0000, 0.0000, 0.0000)
Tb (0.3333, 0.6667, 0.4756)
Au (0.6667, 0.3333, 0.6009)

## Properties
The value obtained for the density of states at the Fermi level is 1.075 states/eV per atom. Its energy above the most stable polymorph in this dataset is 173.7 meV per atom. The total energy comes out at -4.6871 eV/atom. The formation energy comes out at -0.409 eV/atom. Its volume is 29.18 Å³/atom. The space group is P3m1 (156).